[1]
YTmAsO2 | Alexandria | GGA-PBE | relaxed; SG = I4mm; crystal system = tetragonal; Fermi-level density of states = 1.939 states/eV/cell; DFT total energy = -7.79 eV/atom
1.0
-1.433 2.179 -2.724
-2.420 -2.742 -0.920
-2.326 2.650 5.953
Y Tm As O
1 1 1 2
Cartesian
-4.823 1.331 0.991
-1.382 0.769 1.342
-1.936 -0.276 -1.813
-2.826 2.264 0.687
-3.319 -0.196 1.589

[2]
YTmAs2O8 | Alexandria | GGA-PBE | relaxed; SG = I-4; crystal system = tetragonal; Fermi-level density of states = 0.000 states/eV/cell; DFT total energy = -7.35 eV/atom
1.0
5.026 0.000 0.000
0.000 5.026 0.000
-2.513 -2.513 5.636
Y Tm As O
1 1 2 8
Cartesian
2.513 0.000 2.818
0.000 0.000 0.000
2.513 2.513 0.000
0.000 2.513 2.818
3.284 3.787 0.884
1.742 1.240 0.884
1.274 1.768 3.723
-1.274 3.258 3.723
-0.745 1.239 1.913
0.745 3.787 1.913
-1.273 0.771 4.753
1.273 -0.771 4.753

- Among the records above, which one has the highest Fermi-level density of states?
  YTmAsO2

- Which formula does entry 1 have?
  YTmAsO2

- Which of these has the lowest DFT total energy?
  YTmAsO2

- Fermi-level density of states of number 1 (YTmAsO2)?
  1.939 states/eV/cell